Below is a relaxed structure of InCoAgF6, with properties calculated at the GGA+U level.

The structure belongs to space group P-31c (No. 163); the cell edges are 5.6102, 5.6102 and 10.2404 Å and the angles 90.00°, 90.00° and 120.00°. The asymmetric unit holds In at (0.3333, 0.6667, 0.2500), Co at (0.3333, 0.6667, 0.7500), Ag at (0.0000, 0.0000, 0.0000) and F at (0.0067, 0.3683, 0.6433).

As for the total energy: -4.48 eV per atom.